[1]
CePr2Ag3: optimized geometry, PBE.

Lattice parameters (Å, degrees): 3.723 3.723 11.562 90.00 90.00 90.00
Fractional positions:
Ce  0.000  0.000  0.000
Pr  0.000  0.000  0.332
Pr  0.000  0.000  0.668
Ag  0.500  0.500  0.166
Ag  0.500  0.500  0.500
Ag  0.500  0.500  0.834

## Properties
Total DFT energy (no corrections) ... -25.09 eV for the cell shown
Symmetry ... P4/mmm

[2]
SrCa2LaHg: optimized geometry, PBE.

Lattice parameters (Å, degrees): 6.019 6.019 6.025 90.00 90.00 90.00
Fractional positions:
Sr  0.000  0.000  0.000
Ca  0.000  0.500  0.500
Ca  0.500  0.000  0.500
La  0.500  0.500  0.000
Hg  0.500  0.500  0.500

## Properties
Total DFT energy (no corrections) ... -11.23 eV for the cell shown
Symmetry ... P4/mmm

[3]
Pa2Zn3Cu4: optimized geometry, PBE.

Lattice parameters (Å, degrees): 8.190 8.190 7.283 90.00 90.00 142.45
Fractional positions:
Pa  0.096  0.904  0.881
Pa  0.404  0.596  0.381
Pa  0.596  0.404  0.619
Pa  0.904  0.096  0.119
Zn  0.000  0.000  0.500
Zn  0.015  0.485  0.750
Zn  0.485  0.015  0.250
Zn  0.500  0.500  0.000
Zn  0.515  0.985  0.750
Zn  0.985  0.515  0.250
Cu  0.170  0.830  0.511
Cu  0.177  0.323  0.750
Cu  0.323  0.177  0.250
Cu  0.330  0.670  0.011
Cu  0.670  0.330  0.989
Cu  0.677  0.823  0.750
Cu  0.823  0.677  0.250
Cu  0.830  0.170  0.489

## Properties
Total DFT energy (no corrections) ... -78.49 eV for the cell shown
Symmetry ... Cmce

Q: Among the records above, which one has the lowest total DFT energy (no corrections)?
A: Pa2Zn3Cu4